The following is a DFT calculation (PBE-GGA) of a relaxed MnICl2 crystal.

Summary:
total moment: 0.00 μB/cell
calculated density: 3.73 g cm⁻³

Cell and atoms, written as CIF:
```
data_MnICl2
_chemical_formula_sum 'Mn4 I4 Cl8'
_cell_length_a 6.859
_cell_length_b 6.859
_cell_length_c 9.567
_cell_angle_alpha 90.00
_cell_angle_beta 90.00
_cell_angle_gamma 90.00
_symmetry_space_group_name_H-M 'I -4 2 d'
_symmetry_Int_Tables_number 122
_symmetry_space_group_name_Hall 'I -4 2bw'
loop_
_atom_site_label
_atom_site_type_symbol
_atom_site_fract_x
_atom_site_fract_y
_atom_site_fract_z
_atom_site_occupancy
Mn1 Mn 0.000 0.000 0.000 1
I1 I 0.000 0.000 0.500 1
Cl1 Cl 0.071 0.250 0.125 1
```

The following is a DFT calculation (PBE-GGA) of a relaxed HfOsBr3 crystal.

Summary:
total moment: 3.55 μB/cell
calculated density: 6.94 g cm⁻³

Cell and atoms, written as CIF:
```
data_HfOsBr3
_chemical_formula_sum 'Hf1 Os1 Br3'
_cell_length_a 5.261
_cell_length_b 5.261
_cell_length_c 5.261
_cell_angle_alpha 90.00
_cell_angle_beta 90.00
_cell_angle_gamma 90.00
_symmetry_space_group_name_H-M 'P m -3 m'
_symmetry_Int_Tables_number 221
_symmetry_space_group_name_Hall '-P 4 2 3'
loop_
_atom_site_label
_atom_site_type_symbol
_atom_site_fract_x
_atom_site_fract_y
_atom_site_fract_z
_atom_site_occupancy
Hf1 Hf 0.000 0.000 0.000 1
Os1 Os 0.500 0.500 0.500 1
Br1 Br 0.000 0.000 0.500 1
```

The following is a DFT calculation (PBE-GGA) of a relaxed Nd2Ge6Ir crystal.

Summary:
total moment: 0.00 μB/cell
calculated density: 7.83 g cm⁻³

Cell and atoms, written as CIF:
```
data_Nd2Ge6Ir
_chemical_formula_sum 'Nd4 Ge12 Ir2'
_cell_length_a 4.259
_cell_length_b 4.077
_cell_length_c 22.376
_cell_angle_alpha 90.00
_cell_angle_beta 90.00
_cell_angle_gamma 90.00
_symmetry_space_group_name_H-M 'A m m 2'
_symmetry_Int_Tables_number 38
loop_
_symmetry_equiv_pos_as_xyz
'x,y,z'
'-x,-y,z'
'-x,y,z'
'x,-y,z'
'x,y+1/2,z+1/2'
'-x,-y+1/2,z+1/2'
'-x,y+1/2,z+1/2'
'x,-y+1/2,z+1/2'
loop_
_atom_site_label
_atom_site_type_symbol
_atom_site_fract_x
_atom_site_fract_y
_atom_site_fract_z
_atom_site_occupancy
Nd1 Nd 0.000 0.000 0.000 1
Nd2 Nd 0.000 0.000 0.337 1
Ge1 Ge 0.000 0.000 0.606 1
Ge2 Ge 0.000 0.000 0.718 1
Ge3 Ge 0.500 0.000 0.103 1
Ge4 Ge 0.500 0.000 0.215 1
Ge5 Ge 0.500 0.000 0.457 1
Ge6 Ge 0.500 0.000 0.886 1
Ir1 Ir 0.500 0.000 0.777 1
```

The following is a DFT calculation (PBE-GGA) of a relaxed TmSc3Rh crystal.

Summary:
total moment: 0.00 μB/cell
calculated density: 5.23 g cm⁻³

Cell and atoms, written as CIF:
```
data_TmSc3Rh
_chemical_formula_sum 'Tm1 Sc3 Rh1'
_cell_length_a 5.055
_cell_length_b 5.055
_cell_length_c 5.055
_cell_angle_alpha 90.00
_cell_angle_beta 90.00
_cell_angle_gamma 90.00
_symmetry_space_group_name_H-M 'P m -3 m'
_symmetry_Int_Tables_number 221
_symmetry_space_group_name_Hall '-P 4 2 3'
loop_
_atom_site_label
_atom_site_type_symbol
_atom_site_fract_x
_atom_site_fract_y
_atom_site_fract_z
_atom_site_occupancy
Tm1 Tm 0.000 0.000 0.000 1
Sc1 Sc 0.000 0.500 0.500 1
Rh1 Rh 0.500 0.500 0.500 1
```

no.,excess energy over the best structure of this formula in the dataset (meV/atom),E_tot (eV/atom)
1,609.7,-3.5907
2,0.0,-4.4599
3,0.0,-5.6246
4,113.3,-6.3926